SrAl2ZnTe | PBE-GGA | optimized geometry

Results
- Final energy: -1.71 eV/atom
- Formation energy without anion corrections: 1.004 eV/atom

Lattice parameters (Å, degrees): 6.045 5.697 6.045 90.00 90.00 90.00
Element x y z (fractional)
Sr 0.000 0.000 0.000
Te 0.500 0.500 0.500
Zn 0.000 0.500 0.000
Al 0.000 0.000 0.500
Al 0.500 0.000 0.000